Record 1
Here is a geometry-optimized Ba2MgB structure from Alexandria. Energies are from GGA-PBEsol.

a = 5.560 Å, b = 5.560 Å, c = 5.560 Å
α = 60.00°, β = 60.00°, γ = 60.00°
Element x y z (fractional)
B1 0.000 0.000 0.000
Mg1 0.500 0.500 0.500
Ba1 0.250 0.250 0.250
Ba2 0.750 0.750 0.750

Calculated values
DFT total energy   -2.6357 eV per atom
Energy of formation from the pure elements   622.2 meV/atom
Space-group type   Fm-3m, No. 225



Record 2
Here is a geometry-optimized AsSe2I structure from Alexandria. Energies are from GGA-PBEsol.

a = 4.973 Å, b = 4.973 Å, c = 4.973 Å
α = 60.00°, β = 60.00°, γ = 60.00°
Element x y z (fractional)
As1 0.000 0.000 0.000
Se1 0.750 0.750 0.750
Se2 0.250 0.250 0.250
I1 0.500 0.500 0.500

Calculated values
DFT total energy   -3.1095 eV per atom
Raw formation energy   534 meV/atom
Space-group type   Fm-3m, No. 225



Record 3
Here is a geometry-optimized SrGaSi structure from Alexandria. Energies are from GGA-PBEsol.

a = 4.158 Å, b = 4.158 Å, c = 4.648 Å
α = 90.00°, β = 90.00°, γ = 120.00°
Element x y z (fractional)
Sr1 0.000 0.000 0.000
Si1 0.333 0.667 0.500
Ga1 0.667 0.333 0.500

Calculated values
DFT total energy   -4.1534 eV per atom
Raw formation energy   -511 meV/atom
Space-group type   P-6m2, No. 187



Record 4
Here is a geometry-optimized NdP3O9 structure from Alexandria. Energies are from GGA-PBEsol.

a = 7.041 Å, b = 7.041 Å, c = 7.310 Å
α = 90.00°, β = 90.00°, γ = 105.50°
Element x y z (fractional)
O1 0.171 0.132 0.831
O2 0.176 0.787 0.038
O3 0.748 0.529 0.455
O4 0.376 0.624 0.250
O5 0.471 0.252 0.045
O6 0.824 0.213 0.538
O7 0.213 0.824 0.462
O8 0.531 0.784 0.963
O9 0.868 0.829 0.669
O10 0.469 0.216 0.463
O11 0.252 0.471 0.955
O12 0.787 0.176 0.962
O13 0.529 0.748 0.545
O14 0.132 0.171 0.169
O15 0.784 0.531 0.037
O16 0.624 0.376 0.750
O17 0.216 0.469 0.537
O18 0.829 0.868 0.331
P1 0.664 0.314 0.546
P2 0.686 0.336 0.954
P3 0.336 0.686 0.046
P4 0.251 0.251 0.000
P5 0.314 0.664 0.454
P6 0.749 0.749 0.500
Nd1 0.878 0.878 0.000
Nd2 0.122 0.122 0.500

Calculated values
DFT total energy   -7.8922 eV per atom
Raw formation energy   -2524 meV/atom
Space-group type   C222_1, No. 20



Record 5
Here is a geometry-optimized Li3Ag2 structure from Alexandria. Energies are from GGA-PBEsol.

a = 4.432 Å, b = 4.432 Å, c = 5.400 Å
α = 90.00°, β = 90.00°, γ = 120.00°
Element x y z (fractional)
Ag1 0.333 0.667 0.877
Ag2 0.667 0.333 0.123
Li1 0.667 0.333 0.633
Li2 0.000 0.000 0.000
Li3 0.333 0.667 0.367

Calculated values
DFT total energy   -2.5775 eV per atom
Distance to the lowest polymorph of the same formula   79 meV per atom
Energy of formation from the pure elements   -73.0 meV/atom
Space-group type   P-3m1, No. 164



Record 6
Here is a geometry-optimized Sc5Mn structure from Alexandria. Energies are from GGA-PBEsol.

a = 3.243 Å, b = 5.722 Å, c = 7.522 Å
α = 110.44°, β = 90.00°, γ = 106.46°
Element x y z (fractional)
Mn1 0.500 0.000 0.500
Sc1 0.132 0.264 0.368
Sc2 0.500 0.000 0.000
Sc3 0.162 0.325 0.782
Sc4 0.838 0.675 0.218
Sc5 0.868 0.736 0.632

Calculated values
DFT total energy   -7.0711 eV per atom
Distance to the lowest polymorph of the same formula   0 meV per atom
Energy of formation from the pure elements   60.0 meV/atom
Space-group type   C2/m, No. 12